1.
Computed, not measured: a relaxed structure of CoRe2Pb at the PBE level of DFT.

The structure belongs to space group P4mm (No. 99); the cell edges are 3.068, 3.068 and 7.112 Å and the angles 90.00°, 90.00° and 90.00°. The inequivalent atoms are Co at (0.000, 0.000, 0.000), Re at (0.000, 0.000, 0.588), Re at (0.500, 0.500, 0.790) and Pb at (0.500, 0.500, 0.266).

The spin magnetization comes out at 1.32 μB per formula unit. The value obtained for the formation energy is 0.53 eV/atom. The value obtained for the final energy is -33.61 eV per formula unit. The value obtained for the mass density is 15.842 g/cm3.


2.
Computed, not measured: a relaxed structure of ScNb2PdF at the PBE level of DFT.

The structure belongs to space group P4/mmm (No. 123); the cell edges are 4.186, 4.186 and 5.006 Å and the angles 90.00°, 90.00° and 90.00°. The inequivalent atoms are Sc at (0.000, 0.000, 0.000), Nb at (0.000, 0.500, 0.500), Pd at (0.500, 0.500, 0.000) and F at (0.500, 0.500, 0.500).

As for the formation energy from raw total energies: -0.282 eV/atom. The spin magnetization comes out at 0.00 μB per formula unit. The value obtained for the final energy is -34.95 eV per formula unit. The value obtained for the mass density is 6.741 g/cm3.


3.
Computed, not measured: a relaxed structure of Cr3Mo2 at the PBE level of DFT.

The structure belongs to space group P-3m1 (No. 164); the cell edges are 4.1535, 4.1535 and 5.0958 Å and the angles 90.00°, 90.00° and 120.00°. The inequivalent atoms are Cr at (0.0000, 0.0000, 0.0000), Cr at (0.3333, 0.6667, 0.3418) and Mo at (0.3333, 0.6667, 0.8211).

The value obtained for the energy above the most stable polymorph in this dataset is 319 meV/atom. The spin magnetization comes out at 1.71 μB per formula unit. The value obtained for the formation energy is 0.68 eV/atom. The value obtained for the final energy is -47.14 eV per formula unit. The value obtained for the mass density is 7.588 g/cm3.